(1)
Compound: Be2TcHg
Source: Alexandria
Functional: SCAN
Structure: PBEsol geometry

Structure (extended XYZ):
```
4
Lattice="4.497 -1.347 0.000 4.497 1.347 0.000 -1.266 0.000 4.144" Properties=species:S:1:pos:R:3 pbc="T T T"
Be 0.000 0.000 0.000
Be 6.001 0.000 1.354
Tc 3.590 0.000 1.911
Hg 1.133 0.000 3.493
```

Output
**Calculated volume**: 12.6 Å³ per atom
**Energy of formation from the pure elements**: 0.219 eV/atom
**D(E_F)**: 1.69 states/eV per cell



(2)
Compound: CaZnSe2
Source: Alexandria
Functional: SCAN
Structure: PBEsol geometry

Structure (extended XYZ):
```
4
Lattice="-1.793 1.872 6.546 1.793 -1.872 6.546 1.793 1.872 -6.546" Properties=species:S:1:pos:R:3 pbc="T T T"
Ca 0.000 0.000 0.000
Zn 1.793 0.000 3.304
Se 0.000 0.000 5.257
Se 0.000 1.872 2.268
```

Output
**Calculated volume**: 22.0 Å³ per atom
**Energy relative to the elements, uncorrected**: -1.074 eV/atom
**D(E_F)**: 0.71 states/eV per cell



(3)
Compound: LiTa4Ag
Source: Alexandria
Functional: SCAN
Structure: PBEsol geometry

Structure (extended XYZ):
```
6
Lattice="0.000 3.819 3.819 3.819 0.000 3.819 3.819 3.819 0.000" Properties=species:S:1:pos:R:3 pbc="T T T"
Li 0.000 0.000 0.000
Ta 4.782 2.856 2.856
Ta 2.856 4.782 2.856
Ta 2.856 2.856 4.782
Ta 4.782 4.782 4.782
Ag 1.909 1.909 1.909
```

Output
**Calculated volume**: 18.6 Å³ per atom
**Energy of formation from the pure elements**: 0.610 eV/atom
**D(E_F)**: 3.47 states/eV per cell



(4)
Compound: Zr2InIrC
Source: Alexandria
Functional: SCAN
Structure: PBEsol geometry

Structure (extended XYZ):
```
5
Lattice="5.232 0.000 0.000 0.000 5.232 0.000 0.000 0.000 3.761" Properties=species:S:1:pos:R:3 pbc="T T T"
Zr 0.000 2.616 0.000
Zr 2.616 0.000 0.000
In 0.000 0.000 0.000
Ir 2.616 2.616 1.880
C 0.000 0.000 1.880
```

Output
**Calculated volume**: 20.6 Å³ per atom
**Energy of formation from the pure elements**: 1.723 eV/atom
**D(E_F)**: 4.53 states/eV per cell



(5)
Compound: InAgW
Source: Alexandria
Functional: SCAN
Structure: PBEsol geometry

Structure (extended XYZ):
```
3
Lattice="2.905 0.000 0.000 -1.452 2.516 0.000 0.000 0.000 7.170" Properties=species:S:1:pos:R:3 pbc="T T T"
In 0.000 0.000 0.000
Ag 1.452 0.839 2.447
W 0.000 1.677 4.764
```

Output
**Excess energy over the best structure of this formula in the dataset**: 0 kJ/mol of formula units
**Calculated volume**: 17.5 Å³ per atom
**Energy of formation from the pure elements**: 0.548 eV/atom
**D(E_F)**: 0.92 states/eV per cell



(6)
Compound: Ca2TlZn
Source: Alexandria
Functional: SCAN
Structure: PBEsol geometry

Structure (extended XYZ):
```
4
Lattice="3.734 0.000 0.000 0.000 3.734 0.000 0.000 0.000 8.023" Properties=species:S:1:pos:R:3 pbc="T T T"
Ca 0.000 0.000 0.000
Ca 1.867 1.867 2.916
Tl 0.000 0.000 4.831
Zn 1.867 1.867 6.337
```

Output
**Calculated volume**: 28.0 Å³ per atom
**Energy of formation from the pure elements**: -0.200 eV/atom
**D(E_F)**: 2.33 states/eV per cell



(7)
Compound: CsLiH4SO5
Source: Alexandria
Functional: SCAN
Structure: PBEsol geometry

Structure (extended XYZ):
```
12
Lattice="5.931 -2.831 0.000 5.931 2.831 0.000 -1.414 0.000 4.412" Properties=species:S:1:pos:R:3 pbc="T T T"
Cs 0.000 0.000 0.000
Li 7.201 0.000 2.735
H 5.182 0.000 0.917
H 4.688 0.000 2.471
H 8.813 0.777 0.940
H 8.813 -0.777 0.940
S 2.078 0.000 3.196
O 1.432 1.224 3.867
O 3.543 0.000 3.690
O 1.432 -1.224 3.867
O 5.495 0.000 1.872
O 8.786 0.000 1.575
```

Output
**Raw total energy**: -9.419 eV per atom
**Calculated volume**: 12.3 Å³ per atom
**D(E_F)**: 0.00 states/eV per cell



(8)
Compound: Mn2CrCl
Source: Alexandria
Functional: SCAN
Structure: PBEsol geometry

Structure (extended XYZ):
```
4
Lattice="2.827 0.000 0.000 0.000 2.827 0.000 0.000 0.000 6.559" Properties=species:S:1:pos:R:3 pbc="T T T"
Mn 0.000 0.000 1.433
Mn 0.000 0.000 5.126
Cr 1.414 1.414 0.000
Cl 1.414 1.414 3.280
```

Output
**Excess energy over the best structure of this formula in the dataset**: 0 kJ/mol of formula units
**Calculated volume**: 13.1 Å³ per atom
**Energy relative to the elements, uncorrected**: -0.021 eV/atom
**D(E_F)**: 2.34 states/eV per cell



(9)
Compound: ScC2
Source: Alexandria
Functional: SCAN
Structure: PBEsol geometry

Structure (extended XYZ):
```
3
Lattice="1.351 0.780 4.187 -1.351 0.780 4.187 0.000 -1.560 4.187" Properties=species:S:1:pos:R:3 pbc="T T T"
Sc 0.000 0.000 0.000
C 0.000 0.000 2.312
C 0.000 0.000 10.249
```

Output
**Calculated volume**: 8.8 Å³ per atom
**Energy of formation from the pure elements**: 0.226 eV/atom
**D(E_F)**: 0.99 states/eV per cell



(10)
Compound: Nb2BS
Source: Alexandria
Functional: SCAN
Structure: PBEsol geometry

Structure (extended XYZ):
```
4
Lattice="0.000 2.974 2.974 2.974 0.000 2.974 2.974 2.974 0.000" Properties=species:S:1:pos:R:3 pbc="T T T"
Nb 1.487 1.487 1.487
Nb 4.461 4.461 4.461
B 0.000 0.000 0.000
S 2.974 2.974 2.974
```

Output
**Calculated volume**: 13.2 Å³ per atom
**Energy relative to the elements, uncorrected**: -0.156 eV/atom
**D(E_F)**: 2.95 states/eV per cell



(11)
Compound: CaFeSi2N
Source: Alexandria
Functional: SCAN
Structure: PBEsol geometry

Structure (extended XYZ):
```
5
Lattice="4.812 0.000 0.000 0.000 4.812 0.000 0.000 0.000 3.421" Properties=species:S:1:pos:R:3 pbc="T T T"
Ca 0.000 0.000 0.000
Fe 2.406 2.406 1.711
Si 0.000 2.406 1.711
Si 2.406 0.000 1.711
N 2.406 2.406 0.000
```

Output
**Calculated volume**: 15.8 Å³ per atom
**Energy relative to the elements, uncorrected**: 0.364 eV/atom
**D(E_F)**: 2.78 states/eV per cell



(12)
Compound: Tl2Si2Pb
Source: Alexandria
Functional: SCAN
Structure: PBEsol geometry

Structure (extended XYZ):
```
5
Lattice="-1.730 1.730 10.060 1.730 -1.730 10.060 1.730 1.730 -10.060" Properties=species:S:1:pos:R:3 pbc="T T T"
Tl 0.000 0.000 2.450
Tl 0.000 0.000 17.670
Si 1.730 0.000 5.030
Si 0.000 1.730 5.030
Pb 0.000 0.000 10.060
```

Output
**Calculated volume**: 24.1 Å³ per atom
**Energy relative to the elements, uncorrected**: 0.307 eV/atom
**D(E_F)**: 2.10 states/eV per cell



(13)
Compound: Sc2CrAs
Source: Alexandria
Functional: SCAN
Structure: PBEsol geometry

Structure (extended XYZ):
```
4
Lattice="0.000 3.174 3.174 3.174 0.000 3.174 3.174 3.174 0.000" Properties=species:S:1:pos:R:3 pbc="T T T"
Sc 0.000 0.000 0.000
Sc 1.587 1.587 1.587
Cr 4.761 4.761 4.761
As 3.174 3.174 3.174
```

Output
**Calculated volume**: 16.0 Å³ per atom
**Energy of formation from the pure elements**: -0.160 eV/atom
**D(E_F)**: 2.91 states/eV per cell



(14)
Compound: Cu2SiRh
Source: Alexandria
Functional: SCAN
Structure: PBEsol geometry

Structure (extended XYZ):
```
4
Lattice="2.742 0.000 0.000 0.000 3.681 0.000 0.000 0.000 4.897" Properties=species:S:1:pos:R:3 pbc="T T T"
Cu 0.000 0.000 1.205
Cu 0.000 0.000 3.693
Si 1.371 1.841 0.000
Rh 1.371 1.841 2.449
```

Output
**Calculated volume**: 12.4 Å³ per atom
**Energy relative to the elements, uncorrected**: -0.094 eV/atom
**D(E_F)**: 2.24 states/eV per cell



(15)
Compound: Ba2WAu
Source: Alexandria
Functional: SCAN
Structure: PBEsol geometry

Structure (extended XYZ):
```
4
Lattice="2.239 1.293 8.539 -2.239 1.293 8.539 0.000 -2.585 8.539" Properties=species:S:1:pos:R:3 pbc="T T T"
Ba 0.000 0.000 0.000
Ba 0.000 0.000 4.515
W 0.000 0.000 10.792
Au 0.000 0.000 19.339
```

Output
**Calculated volume**: 37.1 Å³ per atom
**Energy of formation from the pure elements**: 0.332 eV/atom
**D(E_F)**: 3.73 states/eV per cell



(16)
Compound: LiLa2TcSb
Source: Alexandria
Functional: SCAN
Structure: PBEsol geometry

Structure (extended XYZ):
```
5
Lattice="5.196 0.000 0.000 0.000 5.196 0.000 0.000 0.000 4.804" Properties=species:S:1:pos:R:3 pbc="T T T"
Li 0.000 0.000 0.000
La 0.000 2.598 2.402
La 2.598 0.000 2.402
Tc 0.000 0.000 2.402
Sb 2.598 2.598 0.000
```

Output
**Calculated volume**: 25.9 Å³ per atom
**Energy relative to the elements, uncorrected**: -0.257 eV/atom
**D(E_F)**: 1.63 states/eV per cell



(17)
Compound: Zn2InP
Source: Alexandria
Functional: SCAN
Structure: PBEsol geometry

Structure (extended XYZ):
```
4
Lattice="0.000 3.299 3.299 3.299 0.000 3.299 3.299 3.299 0.000" Properties=species:S:1:pos:R:3 pbc="T T T"
Zn 0.000 0.000 0.000
Zn 1.650 1.650 1.650
In 4.949 4.949 4.949
P 3.299 3.299 3.299
```

Output
**Calculated volume**: 18.0 Å³ per atom
**Energy of formation from the pure elements**: 0.410 eV/atom
**D(E_F)**: 1.53 states/eV per cell



(18)
Compound: CaCoRh2
Source: Alexandria
Functional: SCAN
Structure: PBEsol geometry

Structure (extended XYZ):
```
4
Lattice="-1.418 2.258 4.776 1.418 -2.258 4.776 1.418 2.258 -4.776" Properties=species:S:1:pos:R:3 pbc="T T T"
Ca 0.000 0.000 0.000
Co 1.418 0.000 2.619
Rh 0.000 0.000 4.668
Rh 0.000 2.258 2.137
```

Output
**Excess energy over the best structure of this formula in the dataset**: 0 kJ/mol of formula units
**Calculated volume**: 15.3 Å³ per atom
**Energy of formation from the pure elements**: 0.069 eV/atom
**D(E_F)**: 3.27 states/eV per cell



(19)
Compound: In2AsRh
Source: Alexandria
Functional: SCAN
Structure: PBEsol geometry

Structure (extended XYZ):
```
4
Lattice="3.091 0.000 0.000 0.000 3.091 0.000 0.000 0.000 8.166" Properties=species:S:1:pos:R:3 pbc="T T T"
In 0.000 0.000 0.000
In 1.546 1.546 2.511
As 1.546 1.546 5.706
Rh 0.000 0.000 4.416
```

Output
**Calculated volume**: 19.5 Å³ per atom
**Energy of formation from the pure elements**: -0.170 eV/atom
**D(E_F)**: 2.35 states/eV per cell



(20)
Compound: Be2AlP
Source: Alexandria
Functional: SCAN
Structure: PBEsol geometry

Structure (extended XYZ):
```
4
Lattice="0.000 2.871 2.871 2.871 0.000 2.871 2.871 2.871 0.000" Properties=species:S:1:pos:R:3 pbc="T T T"
Be 1.436 1.436 1.436
Be 4.307 4.307 4.307
Al 0.000 0.000 0.000
P 2.871 2.871 2.871
```

Output
**Excess energy over the best structure of this formula in the dataset**: 125 kJ/mol of formula units
**Calculated volume**: 11.8 Å³ per atom
**Energy of formation from the pure elements**: 0.490 eV/atom
**D(E_F)**: 1.84 states/eV per cell